Record 1
{"formula": "Ca5La12Sn3", "functional": "GGA-PBE", "state": "relaxed", "vol_a3_per_fu": 917.08, "formation_enthalpy_0k_ev_per_atom": 0.45, "dos_ef_per_ev_fu": 33.694, "energy_ev_per_cell": -288.95, "lattice_angstrom": [[16.828, 0.000, 0.000], [-5.609, 15.865, 0.000], [-5.609, -7.933, 13.740]], "species": ["Ca", "La", "Sn", "La", "Ca", "La", "La", "Ca", "La", "La", "Sn", "La", "La", "La", "Sn", "Ca", "La", "Sn", "La", "La", "La", "Ca", "La", "La", "Ca", "Sn", "La", "Sn", "Sn", "Ca", "La", "La", "La", "Ca", "La", "La", "Ca", "Ca", "La", "La", "La", "La", "La", "La", "Ca", "Sn", "La", "La", "La", "La", "La", "Sn", "La", "La", "Sn", "La", "Ca", "La", "Ca", "La", "Ca", "Sn", "Ca", "La", "Ca", "La", "Ca", "Sn", "La", "La", "Ca", "La", "La", "La", "La", "La", "Ca", "La", "La", "Ca"], "frac_coords": [[0.000, 0.000, 0.000], [0.655, 0.418, 0.570], [0.750, 0.875, 0.625], [0.262, 0.848, 0.918], [0.750, 0.125, 0.875], [0.586, 0.738, 0.655], [0.582, 0.345, 0.930], [0.250, 0.875, 0.125], [0.930, 0.086, 0.848], [0.070, 0.914, 0.152], [0.125, 0.250, 0.875], [0.570, 0.652, 0.414], [0.738, 0.586, 0.155], [0.586, 0.848, 0.430], [0.750, 0.375, 0.125], [0.875, 0.625, 0.750], [0.070, 0.155, 0.418], [0.250, 0.125, 0.375], [0.086, 0.155, 0.238], [0.652, 0.570, 0.914], [0.652, 0.082, 0.238], [0.375, 0.250, 0.125], [0.914, 0.845, 0.762], [0.418, 0.655, 0.070], [0.125, 0.375, 0.250], [0.250, 0.625, 0.875], [0.082, 0.652, 0.738], [0.625, 0.375, 0.750], [0.375, 0.625, 0.250], [0.500, 0.000, 0.000], [0.914, 0.070, 0.652], [0.655, 0.238, 0.586], [0.762, 0.345, 0.914], [0.500, 0.000, 0.500], [0.848, 0.586, 0.930], [0.414, 0.262, 0.345], [0.125, 0.750, 0.375], [0.750, 0.625, 0.375], [0.414, 0.152, 0.570], [0.238, 0.582, 0.652], [0.152, 0.414, 0.070], [0.155, 0.070, 0.918], [0.262, 0.414, 0.845], [0.918, 0.348, 0.262], [0.625, 0.750, 0.875], [0.125, 0.875, 0.750], [0.738, 0.152, 0.082], [0.430, 0.348, 0.586], [0.848, 0.262, 0.418], [0.845, 0.930, 0.082], [0.348, 0.918, 0.762], [0.375, 0.750, 0.625], [0.348, 0.430, 0.086], [0.418, 0.762, 0.848], [0.875, 0.125, 0.250], [0.238, 0.655, 0.086], [0.500, 0.500, 0.000], [0.345, 0.762, 0.414], [0.000, 0.500, 0.000], [0.845, 0.914, 0.262], [0.250, 0.375, 0.625], [0.625, 0.250, 0.375], [0.000, 0.000, 0.500], [0.430, 0.082, 0.345], [0.375, 0.125, 0.750], [0.570, 0.918, 0.655], [0.625, 0.875, 0.250], [0.875, 0.750, 0.125], [0.582, 0.238, 0.152], [0.930, 0.845, 0.582], [0.000, 0.500, 0.500], [0.082, 0.430, 0.845], [0.762, 0.418, 0.348], [0.155, 0.086, 0.738], [0.086, 0.930, 0.348], [0.345, 0.582, 0.430], [0.500, 0.500, 0.500], [0.152, 0.738, 0.582], [0.918, 0.570, 0.155], [0.875, 0.250, 0.625]]}

Record 2
{"formula": "CaLa2Sn", "functional": "GGA-PBE", "state": "relaxed", "vol_a3_per_fu": 167.06, "formation_enthalpy_0k_ev_per_atom": -0.16, "dos_ef_per_ev_fu": 4.805, "energy_ev_per_cell": -16.51, "lattice_angstrom": [[4.487, 0.000, 0.000], [2.243, 3.886, 0.000], [2.243, 1.295, 9.582]], "species": ["La", "Ca", "Sn", "La"], "frac_coords": [[0.270, 0.270, 0.190], [0.501, 0.501, 0.498], [0.666, 0.666, 0.003], [0.063, 0.063, 0.810]]}

Record 3
{"formula": "CaLaSn2", "functional": "GGA-PBE", "state": "relaxed", "vol_a3_per_fu": 129.84, "formation_enthalpy_0k_ev_per_atom": -0.39, "dos_ef_per_ev_fu": 2.863, "energy_ev_per_cell": -32.98, "lattice_angstrom": [[8.662, 0.000, 0.000], [0.000, 8.662, 0.000], [4.331, 4.331, 3.461]], "species": ["Ca", "Sn", "Sn", "Sn", "Sn", "La", "Ca", "La"], "frac_coords": [[0.250, 0.750, 0.500], [0.875, 0.865, 0.750], [0.615, 0.125, 0.250], [0.375, 0.385, 0.750], [0.135, 0.625, 0.250], [0.000, 0.000, 0.000], [0.500, 0.500, 0.000], [0.750, 0.250, 0.500]]}

Record 4
{"formula": "CaLa2Sn", "functional": "GGA-PBE", "state": "relaxed", "vol_a3_per_fu": 128.50, "formation_enthalpy_0k_ev_per_atom": -0.43, "dos_ef_per_ev_fu": 4.648, "energy_ev_per_cell": -17.56, "lattice_angstrom": [[5.064, 0.000, 0.000], [0.000, 5.038, 0.000], [0.000, 0.000, 5.038]], "species": ["Ca", "La", "La", "Sn"], "frac_coords": [[0.500, 0.500, 0.500], [0.000, 0.500, 0.000], [0.000, 0.000, 0.500], [0.500, 0.000, 0.000]]}